Density functional theory data (PBE-GGA) for a relaxed structure of TiAgAs2Br.

a = 4.8475 Å, b = 4.8475 Å, c = 5.4220 Å
α = 90.00°, β = 90.00°, γ = 90.00°
Element x y z (fractional)
As 0.0000 0.5000 0.0000
As 0.5000 0.0000 0.0000
Br 0.0000 0.0000 0.5000
Ag 0.5000 0.5000 0.5000
Ti 0.0000 0.0000 0.0000

Summary:
- Uncorrected formation energy: 87 meV per atom
- Total energy: -4.2562 eV per atom
- Total magnetization: 0.0 μB/cell